A plane-wave DFT calculation with PBE-GGA was carried out for a relaxed structure of Pm2DyEr4Sc.

Results
energy of formation from the pure elements: 0.27 eV per formula unit
energy: -4.802 eV per atom

Geometry as CIF:
```
data_Pm2DyEr4Sc
_chemical_formula_sum 'Pm2 Dy1 Er4 Sc1'
_cell_length_a 4.9846
_cell_length_b 4.9830
_cell_length_c 9.9102
_cell_angle_alpha 90.00
_cell_angle_beta 90.01
_cell_angle_gamma 90.00
_symmetry_space_group_name_H-M 'P 1 2/m 1'
_symmetry_Int_Tables_number 10
loop_
_symmetry_equiv_pos_as_xyz
'x,y,z'
'-x,-y,-z'
'-x,y,-z'
'x,-y,z'
loop_
_atom_site_label
_atom_site_fract_x
_atom_site_fract_y
_atom_site_fract_z
Pm1 0.0000 0.0000 0.0000
Pm2 0.5000 0.5000 0.5000
Dy1 0.0000 0.0000 0.5000
Er1 0.0011 0.5000 0.2455
Er2 0.4988 0.0000 0.7543
Sc1 0.5000 0.5000 0.0000
```



A plane-wave DFT calculation with PBE-GGA was carried out for a relaxed structure of KNbMoPb2.

Results
energy of formation from the pure elements: 3.76 eV per formula unit
energy: -5.131 eV per atom

Geometry as CIF:
```
data_KNbMoPb2
_chemical_formula_sum 'K1 Nb1 Mo1 Pb2'
_cell_length_a 5.6382
_cell_length_b 5.6382
_cell_length_c 4.9342
_cell_angle_alpha 90.00
_cell_angle_beta 90.00
_cell_angle_gamma 90.00
_symmetry_space_group_name_H-M 'P 4/m m m'
_symmetry_Int_Tables_number 123
_symmetry_space_group_name_Hall '-P 4 2'
loop_
_atom_site_label
_atom_site_fract_x
_atom_site_fract_y
_atom_site_fract_z
K1 0.0000 0.0000 0.0000
Nb1 0.5000 0.5000 0.5000
Mo1 0.5000 0.5000 0.0000
Pb1 0.0000 0.5000 0.5000
```



A plane-wave DFT calculation with PBE-GGA was carried out for a relaxed structure of Hf7Co2Pd2.

Results
energy of formation from the pure elements: -1.29 eV per formula unit
energy: -8.688 eV per atom
E above lowest polymorph: 252 meV per atom

Geometry as CIF:
```
data_Hf7Co2Pd2
_chemical_formula_sum 'Hf14 Co4 Pd4'
_cell_length_a 7.0869
_cell_length_b 9.8997
_cell_length_c 6.3750
_cell_angle_alpha 90.00
_cell_angle_beta 90.00
_cell_angle_gamma 90.00
_symmetry_space_group_name_H-M 'C m m m'
_symmetry_Int_Tables_number 65
_symmetry_space_group_name_Hall '-C 2 2'
loop_
_atom_site_label
_atom_site_fract_x
_atom_site_fract_y
_atom_site_fract_z
Hf1 0.0000 0.0000 0.0000
Hf2 0.0000 0.5000 0.2489
Hf3 0.2500 0.2500 0.2555
Co1 0.0000 0.2921 0.0000
Pd1 0.1889 0.0000 0.5000
```



A plane-wave DFT calculation with PBE-GGA was carried out for a relaxed structure of MgRuPt.

Results
energy of formation from the pure elements: -0.25 eV per formula unit
energy: -5.719 eV per atom
E above lowest polymorph: 105 meV per atom

Geometry as CIF:
```
data_MgRuPt
_chemical_formula_sum 'Mg1 Ru1 Pt1'
_cell_length_a 2.8109
_cell_length_b 2.8109
_cell_length_c 6.7521
_cell_angle_alpha 90.00
_cell_angle_beta 90.00
_cell_angle_gamma 120.00
_symmetry_space_group_name_H-M 'P 3 m 1'
_symmetry_Int_Tables_number 156
loop_
_symmetry_equiv_pos_as_xyz
'x,y,z'
'-y,x-y,z'
'-x+y,-x,z'
'-y,-x,z'
'-x+y,y,z'
'x,x-y,z'
loop_
_atom_site_label
_atom_site_fract_x
_atom_site_fract_y
_atom_site_fract_z
Mg1 0.0000 0.0000 0.0000
Ru1 0.6667 0.3333 0.6649
Pt1 0.3333 0.6667 0.3332
```



A plane-wave DFT calculation with PBE-GGA was carried out for a relaxed structure of TbZn2AgAu2.

Results
energy of formation from the pure elements: -2.77 eV per formula unit
energy: -3.226 eV per atom

Geometry as CIF:
```
data_TbZn2AgAu2
_chemical_formula_sum 'Tb1 Zn2 Ag1 Au2'
_cell_length_a 4.5566
_cell_length_b 4.5566
_cell_length_c 6.3773
_cell_angle_alpha 90.00
_cell_angle_beta 90.00
_cell_angle_gamma 120.00
_symmetry_space_group_name_H-M 'P -3 m 1'
_symmetry_Int_Tables_number 164
_symmetry_space_group_name_Hall '-P 3 2"'
loop_
_atom_site_label
_atom_site_fract_x
_atom_site_fract_y
_atom_site_fract_z
Tb1 0.0000 0.0000 0.0000
Zn1 0.3333 0.6667 0.6965
Ag1 0.0000 0.0000 0.5000
Au1 0.3333 0.6667 0.2552
```



A plane-wave DFT calculation with PBE-GGA was carried out for a relaxed structure of CsK2UF6.

Results
energy: -5.577 eV per atom

Geometry as CIF:
```
data_CsK2UF6
_chemical_formula_sum 'Cs1 K2 U1 F6'
_cell_length_a 6.7904
_cell_length_b 6.7906
_cell_length_c 7.0142
_cell_angle_alpha 61.27
_cell_angle_beta 61.57
_cell_angle_gamma 60.06
_symmetry_space_group_name_H-M 'P 1'
_symmetry_Int_Tables_number 1
loop_
_symmetry_equiv_pos_as_xyz
'x,y,z'
loop_
_atom_site_label
_atom_site_fract_x
_atom_site_fract_y
_atom_site_fract_z
Cs1 0.0000 0.0000 0.0000
K1 0.2668 0.2670 0.2011
K2 0.7798 0.7805 0.6633
U1 0.4817 0.4823 0.5563
F1 0.1245 0.4298 0.8232
F2 0.2187 0.8301 0.3846
F3 0.4345 0.6223 0.8237
F4 0.5789 0.2248 0.3732
F5 0.6130 0.1228 0.8310
F6 0.8276 0.5708 0.3779
```